a:
DFT (GGA-PBEsol) results for a geometry-optimized AgSb2MoI structure.

Lattice parameters (Å, degrees): 5.1028 5.1028 5.6472 90.00 90.00 90.00
Fractional coordinates of all 5 atoms:
Ag 0.0000 0.0000 0.0000
Sb 0.0000 0.5000 0.5000
Sb 0.5000 0.0000 0.5000
Mo 0.5000 0.5000 0.5000
I 0.5000 0.5000 0.0000

Values from the calculation:
The value obtained for the density of states at the Fermi level is 0.986 states/eV/atom.



b:
DFT (GGA-PBEsol) results for a geometry-optimized AgSb2MoI structure.

Lattice parameters (Å, degrees): 5.2238 5.2238 5.4572 90.00 90.00 90.00
Fractional coordinates of all 5 atoms:
Ag 0.0000 0.0000 0.0000
Sb 0.0000 0.5000 0.0000
Sb 0.5000 0.0000 0.0000
Mo 0.5000 0.5000 0.5000
I 0.0000 0.0000 0.5000

Values from the calculation:
The value obtained for the density of states at the Fermi level is 0.724 states/eV/atom.



Most stable: a (next structure +639 meV/atom)



a:
DFT (GGA-PBEsol) results for a geometry-optimized AgTe2OsI structure.

Lattice parameters (Å, degrees): 5.0547 5.0547 5.7083 90.00 90.00 90.00
Fractional coordinates of all 5 atoms:
Ag 0.0000 0.0000 0.0000
Te 0.0000 0.5000 0.5000
Te 0.5000 0.0000 0.5000
Os 0.5000 0.5000 0.5000
I 0.5000 0.5000 0.0000

Values from the calculation:
The value obtained for the density of states at the Fermi level is 0.921 states/eV/atom.



b:
DFT (GGA-PBEsol) results for a geometry-optimized AgTe2OsI structure.

Lattice parameters (Å, degrees): 5.3051 5.3051 5.2733 90.00 90.00 90.00
Fractional coordinates of all 5 atoms:
Ag 0.0000 0.0000 0.0000
Te 0.0000 0.5000 0.0000
Te 0.5000 0.0000 0.0000
Os 0.5000 0.5000 0.5000
I 0.0000 0.0000 0.5000

Values from the calculation:
The value obtained for the density of states at the Fermi level is 1.447 states/eV/atom.



Most stable: a (next structure +927 meV/atom)



a:
DFT (GGA-PBEsol) results for a geometry-optimized AgTe2RhI structure.

Lattice parameters (Å, degrees): 5.2787 5.2787 5.3955 90.00 90.00 90.00
Fractional coordinates of all 5 atoms:
Ag 0.0000 0.0000 0.0000
Te 0.0000 0.5000 0.0000
Te 0.5000 0.0000 0.0000
Rh 0.5000 0.5000 0.5000
I 0.0000 0.0000 0.5000

Values from the calculation:
The value obtained for the density of states at the Fermi level is 1.818 states/eV/atom.



b:
DFT (GGA-PBEsol) results for a geometry-optimized AgTe2RhI structure.

Lattice parameters (Å, degrees): 5.1011 5.1011 5.4541 90.00 90.00 90.00
Fractional coordinates of all 5 atoms:
Ag 0.0000 0.0000 0.0000
Te 0.0000 0.5000 0.5000
Te 0.5000 0.0000 0.5000
Rh 0.5000 0.5000 0.5000
I 0.5000 0.5000 0.0000

Values from the calculation:
The value obtained for the density of states at the Fermi level is 1.319 states/eV/atom.



Most stable: b (next structure +711 meV/atom)



a:
DFT (GGA-PBEsol) results for a geometry-optimized InAg5 structure.

Lattice parameters (Å, degrees): 3.0046 3.0046 11.5943 90.00 90.00 90.00
Fractional coordinates of all 6 atoms:
In 0.0000 0.0000 0.0000
Ag 0.0000 0.0000 0.3396
Ag 0.0000 0.0000 0.6604
Ag 0.5000 0.5000 0.1767
Ag 0.5000 0.5000 0.5000
Ag 0.5000 0.5000 0.8233

Values from the calculation:
The value obtained for the density of states at the Fermi level is 0.249 states/eV/atom.



b:
DFT (GGA-PBEsol) results for a geometry-optimized InAg5 structure.

Lattice parameters (Å, degrees): 6.4177 6.4177 4.1329 90.00 90.00 142.49
Fractional coordinates of all 6 atoms:
In 0.0000 0.0000 0.0000
Ag 0.1693 0.8307 0.5000
Ag 0.3323 0.6677 0.0000
Ag 0.5000 0.5000 0.5000
Ag 0.6677 0.3323 0.0000
Ag 0.8307 0.1693 0.5000

Values from the calculation:
The value obtained for the density of states at the Fermi level is 0.297 states/eV/atom.



Most stable: b (next structure +47 meV/atom)



a:
DFT (GGA-PBEsol) results for a geometry-optimized InAg5 structure.

Lattice parameters (Å, degrees): 5.0122 5.0122 4.7484 90.00 90.00 120.00
Fractional coordinates of all 6 atoms:
In 0.0000 0.0000 0.0000
Ag 0.0000 0.6638 0.5000
Ag 0.3333 0.6667 0.0000
Ag 0.3362 0.3362 0.5000
Ag 0.6638 0.0000 0.5000
Ag 0.6667 0.3333 0.0000

Values from the calculation:
The value obtained for the density of states at the Fermi level is 0.257 states/eV/atom.



b:
DFT (GGA-PBEsol) results for a geometry-optimized InAg5 structure.

Lattice parameters (Å, degrees): 5.5283 5.5283 6.8971 105.10 105.10 30.77
Fractional coordinates of all 6 atoms:
In 0.0000 0.0000 0.0000
Ag 0.2796 0.2796 0.0633
Ag 0.3326 0.3326 0.6636
Ag 0.6148 0.6148 0.7232
Ag 0.6698 0.6698 0.3389
Ag 0.9479 0.9479 0.3963

Values from the calculation:
The value obtained for the density of states at the Fermi level is 0.277 states/eV/atom.



Most stable: a (next structure +27 meV/atom)



a:
DFT (GGA-PBEsol) results for a geometry-optimized KIn2Ag2 structure.

Lattice parameters (Å, degrees): 6.2902 6.2902 6.2902 132.93 132.93 68.77
Fractional coordinates of all 5 atoms:
K 0.0000 0.0000 0.0000
In 0.3590 0.3590 0.0000
In 0.6410 0.6410 0.0000
Ag 0.2500 0.7500 0.5000
Ag 0.7500 0.2500 0.5000

Values from the calculation:
The value obtained for the density of states at the Fermi level is 0.368 states/eV/atom.



b:
DFT (GGA-PBEsol) results for a geometry-optimized KIn2Ag2 structure.

Lattice parameters (Å, degrees): 8.7860 8.7860 2.9182 90.00 90.00 90.00
Fractional coordinates of all 10 atoms:
K 0.0000 0.0000 0.0000
K 0.5000 0.5000 0.0000
In 0.1319 0.3681 0.0000
In 0.3681 0.8681 0.0000
In 0.6319 0.1319 0.0000
In 0.8681 0.6319 0.0000
Ag 0.1618 0.6618 0.5000
Ag 0.3382 0.1618 0.5000
Ag 0.6618 0.8382 0.5000
Ag 0.8382 0.3382 0.5000

Values from the calculation:
The value obtained for the density of states at the Fermi level is 0.356 states/eV/atom.



Most stable: b (next structure +8 meV/atom)